Record 1
MgCoCu PBE-GGA optimized geometry; magnetization = 0.3797 μB/atom; energy above the most stable polymorph in this dataset = 171 meV per atom; DFT total energy = -4.1097 eV per atom
1.0
-3.9543 -0.4880 -2.6408
-0.0229 -1.3354 -4.5897
1.3458 -1.0528 4.4642
Co Cu Mg
1 1 1
Direct
0.0129 0.0129 0.0000 Co
0.6534 0.6534 0.0000 Cu
0.3337 0.3337 0.0000 Mg


Record 2
TlCdPt2 PBE-GGA optimized geometry; magnetization = 0.0000 μB/atom; DFT total energy = -3.8261 eV per atom
1.0
3.6433 0.0000 0.0000
0.0000 3.6433 0.0000
0.0000 0.0000 5.8008
Tl Pt Cd
1 2 1
Direct
0.0000 0.0000 0.4721 Tl
0.0000 0.0000 0.9808 Pt
0.5000 0.5000 0.2619 Pt
0.5000 0.5000 0.7852 Cd


Record 3
NdAlGaPt2 PBE-GGA optimized geometry; magnetization = 0.0000 μB/atom; DFT total energy = -5.7410 eV per atom
1.0
-1.8158 3.5631 1.1475
-2.0766 0.1023 -3.6037
-2.2939 -4.7537 3.5885
Nd Al Ga Pt
1 1 1 2
Direct
0.0000 0.0000 0.0000 Nd
0.7500 0.2500 0.5000 Al
0.2500 0.7500 0.5000 Ga
0.6196 0.6196 0.2393 Pt
0.3804 0.3804 0.7607 Pt


Record 4
Rb2Sr2I5 PBE-GGA optimized geometry; magnetization = 0.0001 μB/atom; uncorrected formation energy = -12.69 eV/f.u.; DFT total energy = -2.8603 eV per atom
1.0
-1.6695 1.3965 -6.1775
-3.9820 -8.0465 2.7294
-2.9306 9.1651 2.8639
Rb Sr I
2 2 5
Direct
0.3811 0.7621 0.7070 Rb
0.6189 0.2379 0.2930 Rb
0.1183 0.2365 0.8322 Sr
0.8817 0.7635 0.1678 Sr
0.3619 0.7238 0.1048 I
0.6381 0.2762 0.8952 I
0.1237 0.2474 0.5091 I
0.8763 0.7526 0.4909 I
0.0000 0.0000 0.0000 I